(1)
# Ag2IrCl2 (PBE, optimized geometry)
data_Ag2IrCl2
_cell_length_a 7.8895
_cell_length_b 7.8895
_cell_length_c 3.1230
_cell_angle_alpha 90.00
_cell_angle_beta 90.00
_cell_angle_gamma 90.00
_space_group_name_H-M_alt 'P 4/m b m'
_space_group_IT_number 127
_space_group_name_Hall '-P 4 2ab'
loop_
_atom_site_label
_atom_site_fract_x
_atom_site_fract_y
_atom_site_fract_z
Ag1 0.1528 0.3472 0.0000
Ir1 0.0000 0.0000 0.0000
Cl1 0.1499 0.6499 0.5000
# - total energy (eV/atom) = -2.95
# - formation energy (no corrections) (eV/atom) = 0.70
# - crystal system = tetragonal
# - N(E_F) (states/eV/atom) = 0.93
# - magnetic moment (μB/cell) = 3.2

***

(2)
# Ag2IrCl (PBE, optimized geometry)
data_Ag2IrCl
_cell_length_a 2.9757
_cell_length_b 2.9757
_cell_length_c 7.9562
_cell_angle_alpha 90.00
_cell_angle_beta 90.00
_cell_angle_gamma 90.00
_space_group_name_H-M_alt 'P 4/m m m'
_space_group_IT_number 123
_space_group_name_Hall '-P 4 2'
loop_
_atom_site_label
_atom_site_fract_x
_atom_site_fract_y
_atom_site_fract_z
Ag1 0.0000 0.0000 0.2447
Ir1 0.5000 0.5000 0.0000
Cl1 0.5000 0.5000 0.5000
# - total energy (eV/atom) = -3.71
# - formation energy (no corrections) (eV/atom) = 0.39
# - crystal system = tetragonal
# - N(E_F) (states/eV/atom) = 0.79
# - magnetic moment (μB/cell) = 1.2

***

(3)
# Ag6IrCl12 (PBE, optimized geometry)
data_Ag6IrCl12
_cell_length_a 11.0528
_cell_length_b 11.0528
_cell_length_c 14.3484
_cell_angle_alpha 90.00
_cell_angle_beta 90.00
_cell_angle_gamma 120.00
_space_group_name_H-M_alt 'R -3'
_space_group_IT_number 148
_space_group_name_Hall '-R 3'
loop_
_atom_site_label
_atom_site_fract_x
_atom_site_fract_y
_atom_site_fract_z
Ag1 0.0378 0.2649 0.1649
Ir1 0.0000 0.0000 0.5000
Cl1 0.0198 0.2006 0.8813
Cl2 0.0694 0.1980 0.4075
# - total energy (eV/atom) = -2.97
# - formation energy (no corrections) (eV/atom) = -0.43
# - crystal system = trigonal
# - N(E_F) (states/eV/atom) = 0.54
# - magnetic moment (μB/cell) = 0.0

***

(4)
# Ag2IrCl (PBE, optimized geometry)
data_Ag2IrCl
_cell_length_a 2.9894
_cell_length_b 2.9894
_cell_length_c 26.8885
_cell_angle_alpha 90.00
_cell_angle_beta 90.00
_cell_angle_gamma 120.00
_space_group_name_H-M_alt 'R 3 m'
_space_group_IT_number 160
_space_group_name_Hall 'R 3 -2"'
loop_
_atom_site_label
_atom_site_fract_x
_atom_site_fract_y
_atom_site_fract_z
Ag1 0.0000 0.0000 0.0000
Ag2 0.0000 0.0000 0.2467
Ir1 0.0000 0.0000 0.7499
Cl1 0.0000 0.0000 0.4871
# - total energy (eV/atom) = -3.67
# - formation energy (no corrections) (eV/atom) = 0.43
# - crystal system = trigonal
# - N(E_F) (states/eV/atom) = 0.88
# - magnetic moment (μB/cell) = 2.0

***

(5)
# Ag2IrCl5 (PBE, optimized geometry)
data_Ag2IrCl5
_cell_length_a 7.4895
_cell_length_b 7.4895
_cell_length_c 9.3081
_cell_angle_alpha 90.00
_cell_angle_beta 90.00
_cell_angle_gamma 90.00
_space_group_name_H-M_alt 'I 4 m m'
_space_group_IT_number 107
_space_group_name_Hall 'I 4 -2'
loop_
_atom_site_label
_atom_site_fract_x
_atom_site_fract_y
_atom_site_fract_z
Ag1 0.0000 0.5000 0.0000
Ir1 0.0000 0.0000 0.4720
Cl1 0.0000 0.0000 0.2292
Cl2 0.2205 0.2205 0.4873
# - total energy (eV/atom) = -3.25
# - formation energy (no corrections) (eV/atom) = -0.28
# - crystal system = tetragonal
# - magnetic moment (μB/cell) = 0.0

***

(6)
# AgIrCl4 (PBE, optimized geometry)
data_AgIrCl4
_cell_length_a 8.1471
_cell_length_b 8.1471
_cell_length_c 8.1471
_cell_angle_alpha 90.00
_cell_angle_beta 90.00
_cell_angle_gamma 90.00
_space_group_name_H-M_alt 'F -4 3 m'
_space_group_IT_number 216
_space_group_name_Hall 'F -4 2 3'
loop_
_atom_site_label
_atom_site_fract_x
_atom_site_fract_y
_atom_site_fract_z
Ag1 0.0000 0.0000 0.0000
Ir1 0.2500 0.2500 0.2500
Cl1 0.1244 0.1244 0.6244
# - total energy (eV/atom) = -1.89
# - formation energy (no corrections) (eV/atom) = 1.29
# - crystal system = cubic
# - N(E_F) (states/eV/atom) = 1.08
# - magnetic moment (μB/cell) = 1.9

***

(7)
# Ag2IrCl (PBE, optimized geometry)
data_Ag2IrCl
_cell_length_a 4.1346
_cell_length_b 4.1346
_cell_length_c 8.3095
_cell_angle_alpha 90.00
_cell_angle_beta 90.00
_cell_angle_gamma 90.00
_space_group_name_H-M_alt 'I -4 m 2'
_space_group_IT_number 119
_space_group_name_Hall 'I -4 -2'
loop_
_atom_site_label
_atom_site_fract_x
_atom_site_fract_y
_atom_site_fract_z
Ag1 0.0000 0.0000 0.0000
Ag2 0.0000 0.5000 0.2500
Ir1 0.0000 0.0000 0.5000
Cl1 0.0000 0.5000 0.7500
# - total energy (eV/atom) = -3.32
# - formation energy (no corrections) (eV/atom) = 0.79
# - crystal system = tetragonal
# - N(E_F) (states/eV/atom) = 1.13
# - magnetic moment (μB/cell) = 2.5

***

(8)
# AgIr2Cl (PBE, optimized geometry)
data_AgIr2Cl
_cell_length_a 2.9215
_cell_length_b 2.9215
_cell_length_c 26.5645
_cell_angle_alpha 90.00
_cell_angle_beta 90.00
_cell_angle_gamma 120.00
_space_group_name_H-M_alt 'R 3 m'
_space_group_IT_number 160
_space_group_name_Hall 'R 3 -2"'
loop_
_atom_site_label
_atom_site_fract_x
_atom_site_fract_y
_atom_site_fract_z
Ag1 0.0000 0.0000 0.0000
Ir1 0.0000 0.0000 0.2455
Ir2 0.0000 0.0000 0.5037
Cl1 0.0000 0.0000 0.7602
# - total energy (eV/atom) = -5.21
# - formation energy (no corrections) (eV/atom) = 0.39
# - crystal system = trigonal
# - N(E_F) (states/eV/atom) = 1.06
# - magnetic moment (μB/cell) = 0.0

***

(9)
# Ag5IrCl8 (PBE, optimized geometry)
data_Ag5IrCl8
_cell_length_a 9.7329
_cell_length_b 9.7329
_cell_length_c 7.9959
_cell_angle_alpha 90.00
_cell_angle_beta 90.00
_cell_angle_gamma 90.00
_space_group_name_H-M_alt 'I -4'
_space_group_IT_number 82
loop_
_space_group_symop_operation_xyz
'x,y,z'
'y,-x,-z'
'-x,-y,z'
'-y,x,-z'
'x+1/2,y+1/2,z+1/2'
'y+1/2,-x+1/2,-z+1/2'
'-x+1/2,-y+1/2,z+1/2'
'-y+1/2,x+1/2,-z+1/2'
loop_
_atom_site_label
_atom_site_fract_x
_atom_site_fract_y
_atom_site_fract_z
Ag1 0.0000 0.0000 0.0000
Ag2 0.0953 0.3726 0.5648
Ir1 0.0000 0.5000 0.2500
Cl1 0.0426 0.2679 0.2814
Cl2 0.0440 0.2312 0.8287
# - total energy (eV/atom) = -3.02
# - formation energy (no corrections) (eV/atom) = -0.31
# - crystal system = tetragonal
# - N(E_F) (states/eV/atom) = 0.60
# - magnetic moment (μB/cell) = 4.2

***

(10)
# AgIr2Cl (PBE, optimized geometry)
data_AgIr2Cl
_cell_length_a 6.3556
_cell_length_b 6.3556
_cell_length_c 6.3556
_cell_angle_alpha 90.00
_cell_angle_beta 90.00
_cell_angle_gamma 90.00
_space_group_name_H-M_alt 'F m -3 m'
_space_group_IT_number 225
_space_group_name_Hall '-F 4 2 3'
loop_
_atom_site_label
_atom_site_fract_x
_atom_site_fract_y
_atom_site_fract_z
Ag1 0.0000 0.0000 0.0000
Ir1 0.2500 0.2500 0.2500
Cl1 0.0000 0.0000 0.5000
# - total energy (eV/atom) = -4.34
# - formation energy (no corrections) (eV/atom) = 1.26
# - crystal system = cubic
# - N(E_F) (states/eV/atom) = 1.56
# - magnetic moment (μB/cell) = 0.0

***

(11)
# AgIr2Cl (PBE, optimized geometry)
data_AgIr2Cl
_cell_length_a 2.8008
_cell_length_b 2.8008
_cell_length_c 8.1107
_cell_angle_alpha 90.00
_cell_angle_beta 90.00
_cell_angle_gamma 90.00
_space_group_name_H-M_alt 'P 4/m m m'
_space_group_IT_number 123
_space_group_name_Hall '-P 4 2'
loop_
_atom_site_label
_atom_site_fract_x
_atom_site_fract_y
_atom_site_fract_z
Ag1 0.0000 0.0000 0.0000
Ir1 0.5000 0.5000 0.2595
Cl1 0.0000 0.0000 0.5000
# - total energy (eV/atom) = -4.64
# - formation energy (no corrections) (eV/atom) = 0.96
# - crystal system = tetragonal
# - N(E_F) (states/eV/atom) = 1.18
# - magnetic moment (μB/cell) = 0.0

***

(12)
# Ag2IrCl (PBE, optimized geometry)
data_Ag2IrCl
_cell_length_a 6.5659
_cell_length_b 6.5659
_cell_length_c 6.5659
_cell_angle_alpha 90.00
_cell_angle_beta 90.00
_cell_angle_gamma 90.00
_space_group_name_H-M_alt 'F -4 3 m'
_space_group_IT_number 216
_space_group_name_Hall 'F -4 2 3'
loop_
_atom_site_label
_atom_site_fract_x
_atom_site_fract_y
_atom_site_fract_z
Ag1 0.0000 0.0000 0.0000
Ag2 0.2500 0.2500 0.2500
Ir1 0.0000 0.0000 0.5000
Cl1 0.2500 0.2500 0.7500
# - total energy (eV/atom) = -3.30
# - formation energy (no corrections) (eV/atom) = 0.80
# - crystal system = cubic
# - N(E_F) (states/eV/atom) = 0.97
# - magnetic moment (μB/cell) = 5.2

***

(13)
# Ag2IrCl (PBE, optimized geometry)
data_Ag2IrCl
_cell_length_a 5.1929
_cell_length_b 5.1929
_cell_length_c 2.6882
_cell_angle_alpha 90.00
_cell_angle_beta 90.00
_cell_angle_gamma 90.00
_space_group_name_H-M_alt 'P 4/m m m'
_space_group_IT_number 123
_space_group_name_Hall '-P 4 2'
loop_
_atom_site_label
_atom_site_fract_x
_atom_site_fract_y
_atom_site_fract_z
Ag1 0.0000 0.5000 0.0000
Ir1 0.0000 0.0000 0.5000
Cl1 0.5000 0.5000 0.5000
# - total energy (eV/atom) = -3.51
# - formation energy (no corrections) (eV/atom) = 0.59
# - crystal system = tetragonal
# - N(E_F) (states/eV/atom) = 1.07
# - magnetic moment (μB/cell) = 0.0

***

(14)
# Ag3IrCl6 (PBE, optimized geometry)
data_Ag3IrCl6
_cell_length_a 6.6715
_cell_length_b 6.6718
_cell_length_c 12.0137
_cell_angle_alpha 90.00
_cell_angle_beta 123.06
_cell_angle_gamma 90.00
_space_group_name_H-M_alt 'P 1 21/c 1'
_space_group_IT_number 14
loop_
_space_group_symop_operation_xyz
'x,y,z'
'-x,-y,-z'
'-x,y+1/2,-z+1/2'
'x,-y+1/2,z+1/2'
loop_
_atom_site_label
_atom_site_fract_x
_atom_site_fract_y
_atom_site_fract_z
Ag1 0.0000 0.0000 0.0000
Ag2 0.2470 0.0553 0.7361
Ir1 0.5000 0.0000 0.5000
Cl1 0.1643 0.0768 0.2856
Cl2 0.2581 0.6721 0.0569
Cl3 0.4235 0.2043 0.0809
# - total energy (eV/atom) = -3.27
# - formation energy (no corrections) (eV/atom) = -0.42
# - crystal system = monoclinic
# - magnetic moment (μB/cell) = 0.0

***

(15)
# Ag2IrCl (PBE, optimized geometry)
data_Ag2IrCl
_cell_length_a 3.9468
_cell_length_b 3.9468
_cell_length_c 9.0112
_cell_angle_alpha 90.00
_cell_angle_beta 90.00
_cell_angle_gamma 90.00
_space_group_name_H-M_alt 'I 4/m m m'
_space_group_IT_number 139
_space_group_name_Hall '-I 4 2'
loop_
_atom_site_label
_atom_site_fract_x
_atom_site_fract_y
_atom_site_fract_z
Ag1 0.0000 0.5000 0.2500
Ir1 0.0000 0.0000 0.0000
Cl1 0.0000 0.0000 0.5000
# - total energy (eV/atom) = -3.32
# - formation energy (no corrections) (eV/atom) = 0.78
# - crystal system = tetragonal
# - N(E_F) (states/eV/atom) = 0.57
# - magnetic moment (μB/cell) = 0.0

***

(16)
# Ag2IrCl6 (PBE, optimized geometry)
data_Ag2IrCl6
_cell_length_a 6.0804
_cell_length_b 6.0804
_cell_length_c 11.7290
_cell_angle_alpha 90.00
_cell_angle_beta 90.00
_cell_angle_gamma 90.00
_space_group_name_H-M_alt 'P 42/m n m'
_space_group_IT_number 136
_space_group_name_Hall '-P 4n 2n'
loop_
_atom_site_label
_atom_site_fract_x
_atom_site_fract_y
_atom_site_fract_z
Ag1 0.0000 0.0000 0.1626
Ir1 0.0000 0.0000 0.5000
Cl1 0.1853 0.1853 0.3517
Cl2 0.2269 0.2269 0.0000
# - total energy (eV/atom) = -3.27
# - formation energy (no corrections) (eV/atom) = -0.42
# - crystal system = tetragonal
# - N(E_F) (states/eV/atom) = 1.09
# - magnetic moment (μB/cell) = 1.8

***

(17)
# AgIr2Cl (PBE, optimized geometry)
data_AgIr2Cl
_cell_length_a 2.8508
_cell_length_b 2.9139
_cell_length_c 8.2629
_cell_angle_alpha 90.00
_cell_angle_beta 90.25
_cell_angle_gamma 90.00
_space_group_name_H-M_alt 'P 1 m 1'
_space_group_IT_number 6
loop_
_space_group_symop_operation_xyz
'x,y,z'
'x,-y,z'
loop_
_atom_site_label
_atom_site_fract_x
_atom_site_fract_y
_atom_site_fract_z
Ag1 0.0000 0.0000 0.0000
Ir1 0.4965 0.5000 0.7505
Ir2 0.9938 0.0000 0.5459
Cl1 0.9903 0.5000 0.3031
# - total energy (eV/atom) = -5.30
# - formation energy (no corrections) (eV/atom) = 0.31
# - crystal system = monoclinic
# - N(E_F) (states/eV/atom) = 0.70
# - magnetic moment (μB/cell) = 0.0

***

(18)
# Ag2IrCl (PBE, optimized geometry)
data_Ag2IrCl
_cell_length_a 13.2130
_cell_length_b 2.8922
_cell_length_c 4.6629
_cell_angle_alpha 90.00
_cell_angle_beta 98.20
_cell_angle_gamma 90.00
_space_group_name_H-M_alt 'C 1 m 1'
_space_group_IT_number 8
loop_
_space_group_symop_operation_xyz
'x,y,z'
'x,-y,z'
'x+1/2,y+1/2,z'
'x+1/2,-y+1/2,z'
loop_
_atom_site_label
_atom_site_fract_x
_atom_site_fract_y
_atom_site_fract_z
Ag1 0.0000 0.0000 0.0000
Ag2 0.1323 0.0000 0.5518
Ir1 0.1797 0.5000 0.0694
Cl1 0.3271 0.0000 0.1449
# - total energy (eV/atom) = -3.74
# - formation energy (no corrections) (eV/atom) = 0.36
# - crystal system = monoclinic
# - N(E_F) (states/eV/atom) = 0.70
# - magnetic moment (μB/cell) = 0.0

***

(19)
# AgIr2Cl (PBE, optimized geometry)
data_AgIr2Cl
_cell_length_a 4.6034
_cell_length_b 4.6034
_cell_length_c 15.3735
_cell_angle_alpha 90.00
_cell_angle_beta 90.00
_cell_angle_gamma 90.00
_space_group_name_H-M_alt 'I -4 2 d'
_space_group_IT_number 122
_space_group_name_Hall 'I -4 2bw'
loop_
_atom_site_label
_atom_site_fract_x
_atom_site_fract_y
_atom_site_fract_z
Ag1 0.0000 0.0000 0.0000
Ir1 0.1162 0.2500 0.6250
Cl1 0.0000 0.0000 0.5000
# - total energy (eV/atom) = -4.57
# - formation energy (no corrections) (eV/atom) = 1.03
# - crystal system = tetragonal
# - N(E_F) (states/eV/atom) = 0.18
# - magnetic moment (μB/cell) = 0.0

***

(20)
# AgIr2Cl (PBE, optimized geometry)
data_AgIr2Cl
_cell_length_a 2.8038
_cell_length_b 5.0069
_cell_length_c 9.7151
_cell_angle_alpha 90.00
_cell_angle_beta 90.00
_cell_angle_gamma 90.00
_space_group_name_H-M_alt 'I m m 2'
_space_group_IT_number 44
loop_
_space_group_symop_operation_xyz
'x,y,z'
'-x,-y,z'
'-x,y,z'
'x,-y,z'
'x+1/2,y+1/2,z+1/2'
'-x+1/2,-y+1/2,z+1/2'
'-x+1/2,y+1/2,z+1/2'
'x+1/2,-y+1/2,z+1/2'
loop_
_atom_site_label
_atom_site_fract_x
_atom_site_fract_y
_atom_site_fract_z
Ag1 0.0000 0.0000 0.0000
Ir1 0.0000 0.0000 0.5078
Ir2 0.0000 0.5000 0.2282
Cl1 0.0000 0.5000 0.7935
# - total energy (eV/atom) = -4.80
# - formation energy (no corrections) (eV/atom) = 0.80
# - crystal system = orthorhombic
# - N(E_F) (states/eV/atom) = 1.35
# - magnetic moment (μB/cell) = 0.8